#i
This record from Alexandria via LeMat-Bulk describes a geometry-optimized NpSiSb2 structure. The functional is PBE.

Cell lengths 3.573, 3.573, 9.994 Å; angles 79.70, 79.70, 60.00 degrees
Atoms (fractional coordinates):
Np1 0.000 0.000 0.000
Sb1 0.106 0.106 0.681
Sb2 0.894 0.894 0.319
Si1 0.500 0.500 0.500

Results
For the total magnetic moment, the calculation gives 4.97 μB/cell. The mass density comes out at 7.81 g/cm3.



#ii
This record from Alexandria via LeMat-Bulk describes a geometry-optimized NpSiSb2 structure. The functional is PBE.

Cell lengths 4.511, 4.483, 4.483 Å; angles 90.00, 90.00, 90.00 degrees
Atoms (fractional coordinates):
Np1 0.500 0.000 0.000
Sb1 0.000 0.000 0.500
Sb2 0.000 0.500 0.000
Si1 0.500 0.500 0.500

Results
For the total magnetic moment, the calculation gives 3.53 μB/cell. The mass density comes out at 9.32 g/cm3.



Ordering by calculated energy gives the sequence #ii, #i, with the first entry being the most stable.



#i
This record from Alexandria via LeMat-Bulk describes a geometry-optimized NpSn2Sb structure. The functional is PBE.

Cell lengths 3.257, 3.257, 11.749 Å; angles 82.03, 82.03, 60.00 degrees
Atoms (fractional coordinates):
Np1 0.500 0.500 0.500
Sb1 0.000 0.000 0.000
Sn1 0.088 0.088 0.735
Sn2 0.912 0.912 0.265

Results
For the total magnetic moment, the calculation gives 4.06 μB/cell. The mass density comes out at 9.29 g/cm3.



#ii
This record from Alexandria via LeMat-Bulk describes a geometry-optimized NpSn2Sb structure. The functional is PBE.

Cell lengths 4.861, 4.567, 4.567 Å; angles 90.00, 90.00, 90.00 degrees
Atoms (fractional coordinates):
Np1 0.500 0.000 0.000
Sb1 0.500 0.500 0.500
Sn1 0.000 0.000 0.500
Sn2 0.000 0.500 0.000

Results
For the total magnetic moment, the calculation gives 3.94 μB/cell. The mass density comes out at 9.77 g/cm3.



Ordering by calculated energy gives the sequence #ii, #i, with the first entry being the most stable.



#i
This record from Alexandria via LeMat-Bulk describes a geometry-optimized NpTcSb2 structure. The functional is PBE.

Cell lengths 3.306, 3.306, 7.749 Å; angles 90.00, 90.00, 90.00 degrees
Atoms (fractional coordinates):
Np1 0.500 0.500 0.500
Sb1 0.000 0.000 0.791
Sb2 0.000 0.000 0.209
Tc1 0.500 0.500 0.000

Results
For the total magnetic moment, the calculation gives 4.81 μB/cell. The mass density comes out at 11.34 g/cm3.



#ii
This record from Alexandria via LeMat-Bulk describes a geometry-optimized NpTcSb2 structure. The functional is PBE.

Cell lengths 4.289, 4.457, 4.457 Å; angles 90.00, 90.00, 90.00 degrees
Atoms (fractional coordinates):
Np1 0.500 0.000 0.000
Sb1 0.000 0.000 0.500
Sb2 0.000 0.500 0.000
Tc1 0.500 0.500 0.500

Results
For the total magnetic moment, the calculation gives 2.57 μB/cell. The mass density comes out at 11.28 g/cm3.



#iii
This record from Alexandria via LeMat-Bulk describes a geometry-optimized NpTcSb2 structure. The functional is PBE.

Cell lengths 3.852, 6.541, 7.518 Å; angles 106.10, 90.00, 90.00 degrees
Atoms (fractional coordinates):
Np1 0.750 0.578 0.284
Np2 0.250 0.422 0.716
Tc1 0.250 0.273 0.194
Tc2 0.750 0.727 0.806
Sb1 0.750 0.146 0.407
Sb2 0.250 0.854 0.593
Sb3 0.250 0.822 0.080
Sb4 0.750 0.178 0.920

Results
For the total magnetic moment, the calculation gives 6.01 μB/cell. The mass density comes out at 10.55 g/cm3.



#iv
This record from Alexandria via LeMat-Bulk describes a geometry-optimized NpTcSb2 structure. The functional is PBE.

Cell lengths 5.138, 5.138, 4.851 Å; angles 58.02, 58.02, 60.00 degrees
Atoms (fractional coordinates):
Np1 0.500 0.500 0.500
Sb1 0.241 0.241 0.276
Sb2 0.759 0.759 0.724
Tc1 0.000 0.000 0.000

Results
For the total magnetic moment, the calculation gives 3.61 μB/cell. The mass density comes out at 10.95 g/cm3.



Ordering by calculated energy gives the sequence #iii, #i, #ii, #iv, with the first entry being the most stable.



#i
This record from Alexandria via LeMat-Bulk describes a geometry-optimized NpTc2Sb structure. The functional is PBE.

Cell lengths 3.498, 4.551, 4.551 Å; angles 90.00, 90.00, 90.00 degrees
Atoms (fractional coordinates):
Np1 0.500 0.000 0.000
Sb1 0.500 0.500 0.500
Tc1 0.000 0.000 0.500
Tc2 0.000 0.500 0.000

Results
For the total magnetic moment, the calculation gives 2.16 μB/cell. The mass density comes out at 12.72 g/cm3.



#ii
This record from Alexandria via LeMat-Bulk describes a geometry-optimized NpTc2Sb structure. The functional is PBE.

Cell lengths 4.684, 4.684, 4.684 Å; angles 60.00, 60.00, 60.00 degrees
Atoms (fractional coordinates):
Np1 0.000 0.000 0.000
Sb1 0.500 0.500 0.500
Tc1 0.250 0.250 0.250
Tc2 0.750 0.750 0.750

Results
For the total magnetic moment, the calculation gives 2.44 μB/cell. The mass density comes out at 12.68 g/cm3.



Ordering by calculated energy gives the sequence #ii, #i, with the first entry being the most stable.